Below is a geometry-optimized K2TbVF6 structure, with properties calculated at the PBE with a Hubbard U level.

abc: 5.966 10.275 6.281
angles: 90.00 90.00 90.00
Space group Pmmn (No. 59, origin choice 2)
Unique sites:
K: 0.250 0.001 0.242 [4 per cell]
Tb: 0.250 0.750 0.807 [2 per cell]
V: 0.250 0.250 0.691 [2 per cell]
F: 0.000 0.250 0.934 [4 per cell]
F: 0.012 0.250 0.437 [4 per cell]
F: 0.250 0.538 0.822 [4 per cell]

Values from the calculation:
The density of states at the Fermi level is 3.4 states/eV per cell. The calculation puts the total energy at -5.49 eV per atom.